[1]
DFT (PBE-GGA) results for Ta2PtBr after structural relaxation.

CIF file:
```
data_Ta2PtBr
_symmetry_space_group_name_H-M 'P 1'
_symmetry_Int_Tables_number 1
_cell_length_a 3.303
_cell_length_b 4.967
_cell_length_c 4.441
_cell_angle_alpha 90.00
_cell_angle_beta 90.00
_cell_angle_gamma 90.00
loop_
_symmetry_equiv_pos_as_xyz
'x,y,z'
loop_
_atom_site_label
_atom_site_fract_x
_atom_site_fract_y
_atom_site_fract_z
_atom_site_occupancy
Br1 0.500 0.000 0.500 1
Pt1 0.000 0.500 0.500 1
Ta1 0.000 0.000 0.000 1
Ta2 0.500 0.500 0.000 1
```

Polymorph energy (0 for the lowest one) (eV/f.u.): 2.285
SG: Pmmm, No. 47
M_tot (μB per formula unit): 0.0
Electronic total energy (eV/atom): -7.3664

[2]
DFT (PBE-GGA) results for Tb2ScAlS6 after structural relaxation.

CIF file:
```
data_Tb2ScAlS6
_symmetry_space_group_name_H-M 'P 1'
_symmetry_Int_Tables_number 1
_cell_length_a 6.652
_cell_length_b 6.652
_cell_length_c 6.924
_cell_angle_alpha 61.31
_cell_angle_beta 61.31
_cell_angle_gamma 60.01
loop_
_symmetry_equiv_pos_as_xyz
'x,y,z'
loop_
_atom_site_label
_atom_site_fract_x
_atom_site_fract_y
_atom_site_fract_z
_atom_site_occupancy
Tb1 0.525 0.525 0.425 1
Tb2 0.026 0.026 0.923 1
Sc1 0.819 0.819 0.543 1
Al1 0.319 0.319 0.042 1
S1 0.584 0.195 0.256 1
S2 0.195 0.965 0.256 1
S3 0.965 0.584 0.256 1
S4 0.450 0.680 0.771 1
S5 0.680 0.099 0.771 1
S6 0.099 0.451 0.771 1
```

SG: R3, No. 146
M_tot (μB per formula unit): 0.0
Electronic total energy (eV/atom): -6.1223

Let's list ΔE_f (raw) in order: 488.3; -1712.4 meV/atom.